# PBE with a Hubbard U Na5Mn2P2C2O14, optimized geometry
data_Na5Mn2P2C2O14
_chemical_formula_sum 'Na15 Mn6 P6 C6 O42'
_cell_length_a 9.0554
_cell_length_b 6.7061
_cell_length_c 15.7834
_cell_angle_alpha 90.00
_cell_angle_beta 90.80
_cell_angle_gamma 90.00
_space_group_name_H-M_alt 'P 1 m 1'
_space_group_IT_number 6
loop_
_space_group_symop_operation_xyz
'x,y,z'
'x,-y,z'
loop_
_atom_site_label
_atom_site_fract_x
_atom_site_fract_y
_atom_site_fract_z
_atom_site_occupancy
Na1 0.0000 0.0000 0.0000 1
Na2 0.1459 0.2483 0.5098 1
Na3 0.1764 0.2409 0.8385 1
Na4 0.1777 0.2399 0.1788 1
Na5 0.6565 0.2518 0.0048 1
Na6 0.6815 0.2533 0.3402 1
Na7 0.6824 0.2520 0.6680 1
Na8 0.8356 0.5000 0.8454 1
Na9 0.8421 0.5000 0.1766 1
Mn1 0.2759 0.5000 0.9980 1
Mn2 0.2776 0.5000 0.6605 1
Mn3 0.2853 0.5000 0.3319 1
Mn4 0.5580 0.0000 0.5180 1
Mn5 0.5595 0.0000 0.8462 1
Mn6 0.5663 0.0000 0.1840 1
P1 0.3332 0.0000 0.0227 1
P2 0.3386 0.0000 0.6849 1
P3 0.3486 0.0000 0.3568 1
P4 0.4934 0.5000 0.4919 1
P5 0.4998 0.5000 0.8213 1
P6 0.5079 0.5000 0.1586 1
C1 0.8358 0.0000 0.4993 1
C2 0.8537 0.0000 0.8383 1
C3 0.8556 0.0000 0.1612 1
C4 0.9761 0.5000 0.0138 1
C5 0.9941 0.5000 0.6867 1
C6 0.9965 0.5000 0.3406 1
O1 0.0390 0.5000 0.9400 1
O2 0.0582 0.5000 0.0823 1
O3 0.0612 0.5000 0.6136 1
O4 0.0659 0.5000 0.4121 1
O5 0.0798 0.5000 0.7538 1
O6 0.0807 0.5000 0.2720 1
O7 0.2383 0.1848 0.9986 1
O8 0.2519 0.1886 0.6562 1
O9 0.2589 0.1882 0.3312 1
O10 0.3348 0.5000 0.5273 1
O11 0.3495 0.5000 0.8661 1
O12 0.3537 0.0000 0.7841 1
O13 0.3544 0.5000 0.2006 1
O14 0.3620 0.0000 0.1214 1
O15 0.3683 0.0000 0.4569 1
O16 0.4733 0.5000 0.7221 1
O17 0.4811 0.5000 0.3914 1
O18 0.4835 0.0000 0.9774 1
O19 0.4867 0.5000 0.0602 1
O20 0.4967 0.0000 0.6474 1
O21 0.5025 0.0000 0.3158 1
O22 0.5810 0.3125 0.5199 1
O23 0.5958 0.3159 0.8451 1
O24 0.6018 0.3152 0.1855 1
O25 0.7508 0.0000 0.4323 1
O26 0.7594 0.0000 0.5709 1
O27 0.7695 0.0000 0.0937 1
O28 0.7781 0.0000 0.7683 1
O29 0.7789 0.0000 0.9098 1
O30 0.7920 0.0000 0.2347 1
O31 0.8332 0.5000 0.0188 1
O32 0.8537 0.5000 0.6925 1
O33 0.8567 0.5000 0.3298 1
O34 0.9739 0.0000 0.4998 1
O35 0.9955 0.0000 0.8431 1
O36 0.9968 0.0000 0.1535 1
# * E above lowest polymorph: 0.2 kJ per mole of atoms
# * total DFT energy (no corrections): -6.76 eV/atom